No. 1
A relaxed structure of SrYW2. Source: Alexandria via LeMat-Bulk, functional PBE-GGA.

Its energy above the most stable polymorph in this dataset is 499 meV/atom. As for the density: 8.549 g/cm3. As for the total DFT energy (no corrections): -7.5122 eV/atom. As for the formation energy: 1.001 eV/atom. As for the total moment: 0.00 μB per formula unit.

The structure belongs to space group P4/mmm (No. 123); the cell edges are 3.923, 3.923 and 6.868 Å and the angles 90.00°, 90.00° and 90.00°. Symmetry generates all atoms from Sr at (0.000, 0.000, 0.000), Y at (0.000, 0.000, 0.500) and W at (0.500, 0.500, 0.328).

=====

No. 2
A relaxed structure of Sr2YW. Source: Alexandria via LeMat-Bulk, functional PBE-GGA.

Its energy above the most stable polymorph in this dataset is 0 meV/atom. As for the density: 5.491 g/cm3. As for the total DFT energy (no corrections): -5.0085 eV/atom. As for the formation energy: 0.687 eV/atom. As for the total moment: 0.00 μB per formula unit.

The structure belongs to space group Pm (No. 6); the cell edges are 3.841, 3.846 and 9.171 Å and the angles 90.00°, 90.21° and 90.00°. Symmetry generates all atoms from Sr at (0.000, 0.000, 0.000), Sr at (0.496, 0.500, 0.366), Y at (0.499, 0.500, 0.728) and W at (0.998, 0.000, 0.602).

=====

No. 3
A relaxed structure of SrYW3. Source: Alexandria via LeMat-Bulk, functional PBE-GGA.

Its energy above the most stable polymorph in this dataset is 0 meV/atom. As for the density: 9.566 g/cm3. As for the total DFT energy (no corrections): -6.8306 eV/atom. As for the formation energy: 2.570 eV/atom. As for the total moment: 0.00 μB per formula unit.

The structure belongs to space group Pm-3m (No. 221); the cell edges are 5.018, 5.018 and 5.018 Å and the angles 90.00°, 90.00° and 90.00°. Symmetry generates all atoms from Sr at (0.000, 0.000, 0.000), Y at (0.500, 0.500, 0.500) and W at (0.000, 0.500, 0.500).

=====

No. 4
A relaxed structure of SrYW. Source: Alexandria via LeMat-Bulk, functional PBE-GGA.

Its energy above the most stable polymorph in this dataset is 0 meV/atom. As for the density: 7.202 g/cm3. As for the total DFT energy (no corrections): -6.1782 eV/atom. As for the formation energy: 0.855 eV/atom. As for the total moment: 0.00 μB per formula unit.

The structure belongs to space group Fmm2 (No. 42); the cell edges are 4.337, 4.757 and 16.110 Å and the angles 90.00°, 90.00° and 90.00°. Symmetry generates all atoms from Sr at (0.000, 0.000, 0.000), Y at (0.000, 0.000, 0.279) and W at (0.000, 0.000, 0.651).

=====

No. 5
A relaxed structure of Sr2YW. Source: Alexandria via LeMat-Bulk, functional PBE-GGA.

Its energy above the most stable polymorph in this dataset is 315 meV/atom. As for the density: 6.069 g/cm3. As for the total DFT energy (no corrections): -4.6939 eV/atom. As for the formation energy: 1.001 eV/atom. As for the total moment: 0.00 μB per formula unit.

The structure belongs to space group Cmmm (No. 65); the cell edges are 4.566, 4.658 and 11.525 Å and the angles 90.00°, 90.00° and 90.00°. Symmetry generates all atoms from Sr at (0.000, 0.000, 0.209), Y at (0.000, 0.500, 0.500) and W at (0.000, 0.500, 0.000).

=====

No. 6
A relaxed structure of SrYW2. Source: Alexandria via LeMat-Bulk, functional PBE-GGA.

Its energy above the most stable polymorph in this dataset is 1212 meV/atom. As for the density: 9.331 g/cm3. As for the total DFT energy (no corrections): -6.7998 eV/atom. As for the formation energy: 1.713 eV/atom. As for the total moment: 0.00 μB per formula unit.

The structure belongs to space group I-42d (No. 122); the cell edges are 8.317, 8.317 and 5.600 Å and the angles 90.00°, 90.00° and 90.00°. Symmetry generates all atoms from Sr at (0.000, 0.000, 0.000), Y at (0.000, 0.000, 0.500) and W at (0.237, 0.750, 0.625).

=====

No. 7
A relaxed structure of SrYW. Source: Alexandria via LeMat-Bulk, functional PBE-GGA.

Its energy above the most stable polymorph in this dataset is 161 meV/atom. As for the density: 7.976 g/cm3. As for the total DFT energy (no corrections): -6.0176 eV/atom. As for the formation energy: 1.015 eV/atom. As for the total moment: 0.00 μB per formula unit.

The structure belongs to space group P-6m2 (No. 187); the cell edges are 5.4251, 5.4251 and 2.9433 Å and the angles 90.00°, 90.00° and 120.00°. Symmetry generates all atoms from Sr at (0.0000, 0.0000, 0.0000), Y at (0.3333, 0.6667, 0.0000) and W at (0.6667, 0.3333, 0.5000).

=====

No. 8
A relaxed structure of SrYW. Source: Alexandria via LeMat-Bulk, functional PBE-GGA.

Its energy above the most stable polymorph in this dataset is 8 meV/atom. As for the density: 6.885 g/cm3. As for the total DFT energy (no corrections): -6.1702 eV/atom. As for the formation energy: 0.863 eV/atom. As for the total moment: 0.00 μB per formula unit.

The structure belongs to space group Imm2 (No. 44); the cell edges are 3.241, 3.546 and 15.126 Å and the angles 90.00°, 90.00° and 90.00°. Symmetry generates all atoms from Sr at (0.000, 0.000, 0.000), Y at (0.000, 0.000, 0.268) and W at (0.000, 0.000, 0.649).

=====

No. 9
A relaxed structure of SrYW2. Source: Alexandria via LeMat-Bulk, functional PBE-GGA.

Its energy above the most stable polymorph in this dataset is 628 meV/atom. As for the density: 10.339 g/cm3. As for the total DFT energy (no corrections): -7.3834 eV/atom. As for the formation energy: 1.130 eV/atom. As for the total moment: 0.00 μB per formula unit.

The structure belongs to space group P4/mmm (No. 123); the cell edges are 4.107, 4.107 and 5.181 Å and the angles 90.00°, 90.00° and 90.00°. Symmetry generates all atoms from Sr at (0.000, 0.000, 0.000), Y at (0.500, 0.500, 0.000) and W at (0.000, 0.500, 0.500).

=====

No. 10
A relaxed structure of SrYW2. Source: Alexandria via LeMat-Bulk, functional PBE-GGA.

Its energy above the most stable polymorph in this dataset is 633 meV/atom. As for the density: 10.332 g/cm3. As for the total DFT energy (no corrections): -7.3789 eV/atom. As for the formation energy: 1.134 eV/atom. As for the total moment: 0.00 μB per formula unit.

The structure belongs to space group I4/mmm (No. 139); the cell edges are 4.111, 4.111 and 10.350 Å and the angles 90.00°, 90.00° and 90.00°. Symmetry generates all atoms from Sr at (0.000, 0.000, 0.000), Y at (0.000, 0.000, 0.500) and W at (0.000, 0.500, 0.250).

=====

No. 11
A relaxed structure of SrYW2. Source: Alexandria via LeMat-Bulk, functional PBE-GGA.

Its energy above the most stable polymorph in this dataset is 600 meV/atom. As for the density: 9.257 g/cm3. As for the total DFT energy (no corrections): -7.4117 eV/atom. As for the formation energy: 1.101 eV/atom. As for the total moment: 0.00 μB per formula unit.

The structure belongs to space group C2/m (No. 12); the cell edges are 10.379, 2.857 and 6.590 Å and the angles 90.00°, 92.10° and 90.00°. Symmetry generates all atoms from Sr at (0.000, 0.000, 0.000), Y at (0.000, 0.500, 0.500) and W at (0.245, 0.000, 0.681).

=====

No. 12
A relaxed structure of SrYW2. Source: Alexandria via LeMat-Bulk, functional PBE-GGA.

Its energy above the most stable polymorph in this dataset is 208 meV/atom. As for the density: 8.181 g/cm3. As for the total DFT energy (no corrections): -7.8040 eV/atom. As for the formation energy: 0.709 eV/atom. As for the total moment: 0.00 μB per formula unit.

The structure belongs to space group Cm (No. 8); the cell edges are 8.380, 3.294 and 8.026 Å and the angles 90.00°, 94.35° and 90.00°. Symmetry generates all atoms from Sr at (0.000, 0.000, 0.000), Y at (0.219, 0.000, 0.607), W at (0.254, 0.500, 0.274) and W at (0.475, 0.000, 0.389).

=====

Q: Which value of total moment does entry 11 give?
A: 0.00 μB per formula unit